Entry 1:
Material: SrCo5
Method: DFT, SCAN
State: single point on PBEsol structure

## Properties
Total magnetic moment ... 8.84 μB/cell
DFT total energy ... -17.766 eV/atom
Formation enthalpy at 0 K ... 0.3666 eV/atom
V ... 81.9 Å³ per cell

Cell lengths 2.9415, 2.9415, 9.4635 Å; angles 90.00, 90.00, 90.00 degrees
Atoms (fractional coordinates):
Co 0.0000 0.0000 0.7553
Co 0.0000 0.0000 0.2447
Co 0.5000 0.5000 0.6355
Co 0.5000 0.5000 0.3645
Co 0.0000 0.0000 0.5000
Sr 0.5000 0.5000 0.0000

Entry 2:
Material: CaRhSe2
Method: DFT, SCAN
State: single point on PBEsol structure

## Properties
Offset from the most stable computed form ... 25 meV/atom
Total magnetic moment ... 0.00 μB/cell
DFT total energy ... -21.910 eV/atom
V ... 89.9 Å³ per cell
Formation energy from raw total energies ... -1.0121 eV per atom

Cell lengths 3.9367, 4.5735, 5.3685 Å; angles 90.00, 111.48, 90.00 degrees
Atoms (fractional coordinates):
Ca 0.3974 0.0000 0.4194
Rh 0.1790 0.5000 0.9830
Se 0.1057 0.0000 0.8369
Se 0.8178 0.5000 0.2608

Entry 3:
Material: TcHgCl2
Method: DFT, SCAN
State: single point on PBEsol structure

## Properties
Offset from the most stable computed form ... 7 meV/atom
Total magnetic moment ... 3.34 μB/cell
DFT total energy ... -29.393 eV/atom
V ... 75.6 Å³ per cell
Formation energy from raw total energies ... 0.4023 eV per atom

Cell lengths 3.1674, 4.3619, 5.4692 Å; angles 90.00, 90.00, 90.00 degrees
Atoms (fractional coordinates):
Cl 0.0000 0.0000 0.0000
Cl 0.5000 0.0000 0.5000
Hg 0.5000 0.5000 0.0000
Tc 0.0000 0.5000 0.5000